Entry 1:
The following is a DFT calculation (PBE) of crystalline ZrZnAs2 at its relaxed geometry.

For the volume, the calculation gives 18.2 A^3/atom. The space-group type is Immm (71). The calculation puts the formation energy at -0.331 eV per atom. The calculated density comes out at 7.00 Mg/m³.

Cell: 5.103 5.103 4.648 Å, 62.94 62.94 43.54°
Sites, in units of the cell vectors:
As1 0.009 0.009 0.991
As2 0.491 0.491 0.509
Zn1 0.750 0.750 0.750
Zr1 0.250 0.250 0.250

=====

Entry 2:
The following is a DFT calculation (PBE) of crystalline ZrZnAs2 at its relaxed geometry.

For the volume, the calculation gives 18.1 A^3/atom. The space-group type is P4/mmm (123). The calculation puts the formation energy at -0.395 eV per atom. The calculated density comes out at 7.02 Mg/m³.

Cell: 4.512 4.512 3.563 Å, 90.01 90.01 90.01°
Sites, in units of the cell vectors:
As1 0.000 0.000 0.000
As2 0.500 0.500 0.000
Zr1 0.000 0.500 0.500
Zn1 0.500 0.000 0.500

=====

What is the calculated density in the second record?
7.02 Mg/m³

=====

Number 1 is which compound?
ZrZnAs2

=====

Copy entry 1 word for word.
The following is a DFT calculation (PBE) of crystalline ZrZnAs2 at its relaxed geometry.

For the volume, the calculation gives 18.2 A^3/atom. The space-group type is Immm (71). The calculation puts the formation energy at -0.331 eV per atom. The calculated density comes out at 7.00 Mg/m³.

Cell: 5.103 5.103 4.648 Å, 62.94 62.94 43.54°
Sites, in units of the cell vectors:
As1 0.009 0.009 0.991
As2 0.491 0.491 0.509
Zn1 0.750 0.750 0.750
Zr1 0.250 0.250 0.250

=====

What did the first record say?
The following is a DFT calculation (PBE) of crystalline ZrZnAs2 at its relaxed geometry.

For the volume, the calculation gives 18.2 A^3/atom. The space-group type is Immm (71). The calculation puts the formation energy at -0.331 eV per atom. The calculated density comes out at 7.00 Mg/m³.

Cell: 5.103 5.103 4.648 Å, 62.94 62.94 43.54°
Sites, in units of the cell vectors:
As1 0.009 0.009 0.991
As2 0.491 0.491 0.509
Zn1 0.750 0.750 0.750
Zr1 0.250 0.250 0.250